A plane-wave DFT calculation with PBE was carried out for an optimized crystal structure of HoEr2Ni2.

Output
SG: C2/m, No. 12
Distance to the lowest polymorph of the same formula, meV per atom: 52
Calculated formation energy, meV per atom: -257
DOS(E_F), states/eV/cell: 6.04

Cell: 3.748 5.462 5.959 Å, 103.61 108.33 90.00°
Fractional positions:
Ho1 0.000 0.000 0.000
Er1 0.351 0.410 0.703
Er2 0.649 0.590 0.297
Ni1 0.711 0.114 0.422
Ni2 0.289 0.886 0.578